*A*
A plane-wave DFT calculation with GGA-PBE was carried out for a relaxed structure of GaFe6Ge.

Computed properties:
Total magnetic moment ... 14.1 μB/cell

Unit cell a=4.353 b=4.353 c=6.530 alpha=75.61 beta=75.61 gamma=68.67
Last column: magnetic moment on the atom in μB.
Positions (direct):
Fe 0.365 0.365 0.923  2.41
Fe 0.460 0.936 0.700  2.37
Fe 0.540 0.064 0.300  2.37
Fe 0.635 0.635 0.077  2.41
Fe 0.064 0.540 0.300  2.37
Fe 0.936 0.460 0.700  2.37
Ga 0.500 0.500 0.500  -0.13
Ge 0.000 0.000 0.000  -0.10


*B*
A plane-wave DFT calculation with GGA-PBE was carried out for a relaxed structure of GaFe6Ge.

Computed properties:
Total magnetic moment ... 13.1 μB/cell

Unit cell a=4.199 b=5.153 c=5.153 alpha=120.01 beta=90.00 gamma=90.00
Last column: magnetic moment on the atom in μB.
Positions (direct):
Fe 0.000 0.588 0.927  2.22
Fe 0.500 0.911 0.572  2.24
Fe 0.000 0.073 0.412  2.22
Fe 0.000 0.589 0.411  2.22
Fe 0.500 0.911 0.089  2.24
Fe 0.500 0.428 0.089  2.24
Ga 0.000 0.083 0.917  -0.15
Ge 0.500 0.417 0.583  -0.14


Winner for stability: *B*


*A*
A plane-wave DFT calculation with GGA-PBE was carried out for a relaxed structure of GaFeGe3.

Computed properties:
Total magnetic moment ... 0.0 μB/cell

Unit cell a=4.546 b=4.546 c=4.546 alpha=90.00 beta=90.00 gamma=90.00
Positions (direct):
Ge 0.000 0.000 0.500
Ge 0.500 0.000 0.000
Ge 0.000 0.500 0.000
Fe 0.000 0.000 0.000
Ga 0.500 0.500 0.500


*B*
A plane-wave DFT calculation with GGA-PBE was carried out for a relaxed structure of GaFeGe3.

Computed properties:
Total magnetic moment ... 0.1 μB/cell

Unit cell a=4.788 b=4.788 c=4.788 alpha=90.00 beta=90.00 gamma=90.00
Last column: magnetic moment on the atom in μB.
Positions (direct):
Ge 0.500 0.000 0.000  -0.03
Ge 0.000 0.500 0.000  -0.01
Ge 0.000 0.000 0.500  0.02
Fe 0.500 0.500 0.500  0.18
Ga 0.000 0.000 0.000  0.00


Winner for stability: *A*


*A*
A plane-wave DFT calculation with GGA-PBE was carried out for a relaxed structure of GaFe2H2.

Computed properties:
Total magnetic moment ... 3.2 μB/cell

Unit cell a=2.939 b=2.939 c=5.189 alpha=73.55 beta=73.55 gamma=90.00
Last column: magnetic moment on the atom in μB.
Positions (direct):
Fe 0.344 0.344 0.311  1.72
Fe 0.656 0.656 0.689  1.72
Ga 0.000 0.000 0.000  -0.10
H 0.750 0.250 0.500  -0.02
H 0.250 0.750 0.500  -0.02


*B*
A plane-wave DFT calculation with GGA-PBE was carried out for a relaxed structure of GaFe2H2.

Computed properties:
Total magnetic moment ... 4.2 μB/cell

Unit cell a=3.440 b=3.440 c=4.703 alpha=68.55 beta=68.55 gamma=90.00
Last column: magnetic moment on the atom in μB.
Positions (direct):
Fe 0.750 0.250 0.500  2.17
Fe 0.250 0.750 0.500  2.17
H 0.332 0.332 0.336  -0.02
H 0.668 0.668 0.664  -0.02
Ga 0.000 0.000 0.000  -0.09


Winner for stability: *A*


*A*
A plane-wave DFT calculation with GGA-PBE was carried out for a relaxed structure of GaFe2H2.

Computed properties:
Total magnetic moment ... 6.8 μB/cell

Unit cell a=4.641 b=4.641 c=4.983 alpha=104.74 beta=104.74 gamma=116.97
Last column: magnetic moment on the atom in μB.
Positions (direct):
H 0.123 0.623 0.247  -0.02
H 0.377 0.877 0.753  -0.02
H 0.873 0.873 0.747  -0.02
H 0.127 0.127 0.253  -0.02
Ga 0.750 0.250 0.500  -0.10
Ga 0.500 0.500 0.000  -0.10
Fe 0.423 0.577 0.500  1.80
Fe 0.827 0.173 0.000  1.80
Fe 0.077 0.923 0.500  1.80
Fe 0.173 0.827 0.000  1.80


*B*
A plane-wave DFT calculation with GGA-PBE was carried out for a relaxed structure of GaFe2H2.

Computed properties:
Total magnetic moment ... 5.5 μB/cell

Unit cell a=5.649 b=5.649 c=2.651 alpha=90.00 beta=90.00 gamma=90.00
Last column: magnetic moment on the atom in μB.
Positions (direct):
Ga 0.000 0.000 0.000  -0.10
Ga 0.500 0.500 0.000  -0.10
H 0.403 0.903 0.000  -0.02
H 0.903 0.597 0.000  -0.02
H 0.097 0.403 0.000  -0.02
H 0.597 0.097 0.000  -0.02
Fe 0.140 0.640 0.500  1.47
Fe 0.860 0.360 0.500  1.47
Fe 0.360 0.140 0.500  1.47
Fe 0.640 0.860 0.500  1.47


Winner for stability: *A*


*A*
A plane-wave DFT calculation with GGA-PBE was carried out for a relaxed structure of GaFe2HIr.

Computed properties:
Total magnetic moment ... 5.0 μB/cell

Unit cell a=3.625 b=3.625 c=4.190 alpha=90.00 beta=90.00 gamma=90.00
Last column: magnetic moment on the atom in μB.
Positions (direct):
Fe 0.500 0.000 0.000  2.44
Fe 0.000 0.500 0.000  2.44
Ga 0.000 0.000 0.500  -0.07
H 0.000 0.000 0.000  -0.03
Ir 0.500 0.500 0.500  0.23


*B*
A plane-wave DFT calculation with GGA-PBE was carried out for a relaxed structure of GaFe2HIr.

Computed properties:
Total magnetic moment ... 5.0 μB/cell

Unit cell a=3.730 b=3.730 c=3.945 alpha=90.00 beta=90.00 gamma=90.00
Last column: magnetic moment on the atom in μB.
Positions (direct):
Fe 0.500 0.000 0.000  2.43
Fe 0.000 0.500 0.000  2.43
Ir 0.000 0.000 0.500  0.18
H 0.000 0.000 0.000  -0.02
Ga 0.500 0.500 0.500  -0.09


Winner for stability: *B*


*A*
A plane-wave DFT calculation with GGA-PBE was carried out for a relaxed structure of Mn2GaFeH.

Computed properties:
Total magnetic moment ... 6.2 μB/cell

Unit cell a=3.740 b=3.740 c=3.635 alpha=90.00 beta=90.00 gamma=90.00
Last column: magnetic moment on the atom in μB.
Positions (direct):
Fe 0.000 0.000 0.500  1.77
H 0.000 0.000 0.000  -0.02
Mn 0.500 0.000 0.000  2.21
Mn 0.000 0.500 0.000  2.21
Ga 0.500 0.500 0.500  -0.12


*B*
A plane-wave DFT calculation with GGA-PBE was carried out for a relaxed structure of Mn2GaFeH.

Computed properties:
Total magnetic moment ... 6.1 μB/cell

Unit cell a=3.616 b=3.616 c=3.936 alpha=90.00 beta=90.00 gamma=90.00
Last column: magnetic moment on the atom in μB.
Positions (direct):
H 0.000 0.000 0.000  -0.02
Fe 0.500 0.500 0.500  1.94
Mn 0.000 0.500 0.000  2.10
Mn 0.500 0.000 0.000  2.10
Ga 0.000 0.000 0.500  -0.12


Winner for stability: *A*


*A*
A plane-wave DFT calculation with GGA-PBE was carried out for a relaxed structure of GaFe2HPd.

Computed properties:
Total magnetic moment ... 4.9 μB/cell

Unit cell a=3.616 b=3.616 c=4.279 alpha=90.00 beta=90.00 gamma=90.00
Last column: magnetic moment on the atom in μB.
Positions (direct):
H 0.000 0.000 0.000  -0.02
Ga 0.000 0.000 0.500  -0.08
Fe 0.500 0.000 0.000  2.46
Fe 0.000 0.500 0.000  2.46
Pd 0.500 0.500 0.500  0.07


*B*
A plane-wave DFT calculation with GGA-PBE was carried out for a relaxed structure of GaFe2HPd.

Computed properties:
Total magnetic moment ... 4.4 μB/cell

Unit cell a=3.664 b=3.664 c=4.102 alpha=90.00 beta=90.00 gamma=90.00
Last column: magnetic moment on the atom in μB.
Positions (direct):
Ga 0.500 0.500 0.500  -0.10
Fe 0.500 0.000 0.000  2.30
Fe 0.000 0.500 0.000  2.30
H 0.000 0.000 0.000  -0.02
Pd 0.000 0.000 0.500  -0.01


Winner for stability: *B*


*A*
A plane-wave DFT calculation with GGA-PBE was carried out for a relaxed structure of GaFe2HPt.

Computed properties:
Total magnetic moment ... 4.4 μB/cell

Unit cell a=3.697 b=3.697 c=4.076 alpha=90.00 beta=90.00 gamma=90.00
Last column: magnetic moment on the atom in μB.
Positions (direct):
Ga 0.500 0.500 0.500  -0.10
H 0.000 0.000 0.000  -0.02
Fe 0.000 0.500 0.000  2.29
Fe 0.500 0.000 0.000  2.29
Pt 0.000 0.000 0.500  -0.02


*B*
A plane-wave DFT calculation with GGA-PBE was carried out for a relaxed structure of GaFe2HPt.

Computed properties:
Total magnetic moment ... 4.7 μB/cell

Unit cell a=3.644 b=3.644 c=4.221 alpha=90.00 beta=90.00 gamma=90.00
Last column: magnetic moment on the atom in μB.
Positions (direct):
Fe 0.000 0.500 0.000  2.40
Fe 0.500 0.000 0.000  2.40
Pt 0.500 0.500 0.500  0.05
Ga 0.000 0.000 0.500  -0.08
H 0.000 0.000 0.000  -0.02


Winner for stability: *A*


*A*
A plane-wave DFT calculation with GGA-PBE was carried out for a relaxed structure of Ga2FeHPt.

Computed properties:
Total magnetic moment ... 0.0 μB/cell

Unit cell a=4.163 b=4.163 c=3.324 alpha=90.00 beta=90.00 gamma=90.00
Positions (direct):
Ga 0.000 0.500 0.000
Ga 0.500 0.000 0.000
Fe 0.000 0.000 0.500
H 0.000 0.000 0.000
Pt 0.500 0.500 0.500


*B*
A plane-wave DFT calculation with GGA-PBE was carried out for a relaxed structure of Ga2FeHPt.

Computed properties:
Total magnetic moment ... 3.9 μB/cell

Unit cell a=4.747 b=4.913 c=4.747 alpha=90.00 beta=90.00 gamma=90.00
Last column: magnetic moment on the atom in μB.
Positions (direct):
H 0.500 0.500 0.500  0.06
Pt 0.000 0.000 0.000  0.13
Ga 0.500 0.000 0.000  0.01
Ga 0.000 0.000 0.500  0.01
Fe 0.000 0.500 0.000  3.42


Winner for stability: *A*


*A*
A plane-wave DFT calculation with GGA-PBE was carried out for a relaxed structure of GaFe2HRh.

Computed properties:
Total magnetic moment ... 5.0 μB/cell

Unit cell a=3.677 b=3.677 c=4.015 alpha=90.00 beta=90.00 gamma=90.00
Last column: magnetic moment on the atom in μB.
Positions (direct):
Rh 0.000 0.000 0.500  0.21
Ga 0.500 0.500 0.500  -0.10
H 0.000 0.000 0.000  -0.02
Fe 0.500 0.000 0.000  2.46
Fe 0.000 0.500 0.000  2.46


*B*
A plane-wave DFT calculation with GGA-PBE was carried out for a relaxed structure of GaFe2HRh.

Computed properties:
Total magnetic moment ... 5.1 μB/cell

Unit cell a=3.584 b=3.584 c=4.262 alpha=90.00 beta=90.00 gamma=90.00
Last column: magnetic moment on the atom in μB.
Positions (direct):
Rh 0.500 0.500 0.500  0.25
Ga 0.000 0.000 0.500  -0.07
Fe 0.000 0.500 0.000  2.46
Fe 0.500 0.000 0.000  2.46
H 0.000 0.000 0.000  -0.03


Winner for stability: *A*


*A*
A plane-wave DFT calculation with GGA-PBE was carried out for a relaxed structure of Hf6Ga2Fe.

Computed properties:
Total magnetic moment ... 0.0 μB/cell

Unit cell a=6.442 b=6.442 c=9.901 alpha=90.00 beta=90.00 gamma=90.00
Positions (direct):
Hf 0.753 0.247 0.500
Hf 0.247 0.753 0.500
Hf 0.292 0.292 0.333
Hf 0.253 0.253 0.000
Hf 0.208 0.792 0.833
Hf 0.792 0.208 0.167
Hf 0.792 0.208 0.833
Hf 0.708 0.708 0.667
Hf 0.708 0.708 0.333
Hf 0.208 0.792 0.167
Hf 0.292 0.292 0.667
Hf 0.747 0.747 0.000
Ga 0.500 0.500 0.860
Ga 0.000 0.000 0.640
Ga 0.500 0.500 0.140
Ga 0.000 0.000 0.360
Fe 0.500 0.500 0.500
Fe 0.000 0.000 0.000


*B*
A plane-wave DFT calculation with GGA-PBE was carried out for a relaxed structure of Hf6Ga2Fe.

Computed properties:
Total magnetic moment ... 0.0 μB/cell

Unit cell a=7.784 b=7.784 c=3.305 alpha=90.00 beta=90.00 gamma=120.00
Positions (direct):
Hf 0.250 0.000 0.500
Hf 0.000 0.602 0.000
Hf 0.000 0.250 0.500
Hf 0.398 0.398 0.000
Hf 0.602 0.000 0.000
Hf 0.750 0.750 0.500
Ga 0.667 0.333 0.500
Ga 0.333 0.667 0.500
Fe 0.000 0.000 0.000


Winner for stability: *B*


*A*
A plane-wave DFT calculation with GGA-PBE was carried out for a relaxed structure of HfGa2Fe2.

Computed properties:
Total magnetic moment ... 4.1 μB/cell

Unit cell a=3.688 b=3.688 c=6.152 alpha=72.56 beta=72.56 gamma=90.00
Last column: magnetic moment on the atom in μB.
Positions (direct):
Ga 0.392 0.392 0.217  -0.06
Ga 0.608 0.608 0.783  -0.06
Hf 0.000 0.000 0.000  -0.07
Fe 0.250 0.750 0.500  2.16
Fe 0.750 0.250 0.500  2.16


*B*
A plane-wave DFT calculation with GGA-PBE was carried out for a relaxed structure of HfGa2Fe2.

Computed properties:
Total magnetic moment ... 1.1 μB/cell

Unit cell a=3.977 b=3.977 c=5.516 alpha=68.87 beta=68.87 gamma=90.00
Last column: magnetic moment on the atom in μB.
Positions (direct):
Hf 0.000 0.000 0.000  -0.08
Ga 0.250 0.750 0.500  -0.01
Ga 0.750 0.250 0.500  -0.01
Fe 0.394 0.394 0.213  0.61
Fe 0.606 0.606 0.787  0.61


Winner for stability: *A*